--- w ---
The following is a DFT calculation (PBEsol) of crystalline PPbNCl2 at its relaxed geometry.

Cell and atoms, written as POSCAR:
```
PPbNCl2
1.0
3.252 0.000 0.000
0.000 5.714 0.000
0.000 0.000 5.714
Cl Pb N P
2 1 1 1
direct
0.000 0.500 0.000
0.000 0.000 0.500
0.500 0.500 0.500
0.000 0.000 0.000
0.500 0.000 0.000
```

Summary:
Theoretical density ... 5.1 g/cm3
SG ... P4/mmm

=====

--- x ---
The following is a DFT calculation (PBEsol) of crystalline PPbNCl2 at its relaxed geometry.

Cell and atoms, written as POSCAR:
```
PPbNCl2
1.0
5.454 0.000 0.000
0.000 5.454 0.000
0.000 0.000 5.446
Pb N Cl P
1 1 2 1
direct
0.000 0.000 0.000
0.500 0.500 0.500
0.000 0.500 0.000
0.500 0.000 0.000
0.000 0.000 0.500
```

Summary:
Theoretical density ... 3.3 g/cm3
SG ... P4/mmm

=====

Need the numbers? Relative energies in meV per atom: w 0; x 922.

=====

--- w ---
The following is a DFT calculation (PBEsol) of crystalline Zn2NCl at its relaxed geometry.

Cell and atoms, written as POSCAR:
```
Zn2NCl
1.0
5.166 0.000 0.000
0.000 5.166 0.000
-2.583 -2.583 4.839
Cl Zn N
2 4 2
direct
0.250 0.750 0.500
0.000 0.000 0.000
0.125 0.242 0.750
0.492 0.875 0.250
0.625 0.508 0.750
0.758 0.375 0.250
0.750 0.250 0.500
0.500 0.500 0.000
```

Summary:
Theoretical density ... 4.6 g/cm3
SG ... I-42d

=====

--- x ---
The following is a DFT calculation (PBEsol) of crystalline Zn2NCl at its relaxed geometry.

Cell and atoms, written as POSCAR:
```
Zn2NCl
1.0
-2.943 4.352 2.661
-3.462 -4.114 2.898
4.753 -0.139 5.482
N Zn Cl
4 8 4
direct
0.902 0.580 0.127
0.902 0.080 0.373
0.402 0.920 0.627
0.402 0.420 0.873
0.847 0.882 0.173
0.347 0.618 0.673
0.847 0.382 0.327
0.347 0.118 0.827
0.203 0.031 0.447
0.703 0.469 0.947
0.203 0.531 0.053
0.703 0.969 0.553
0.904 0.085 0.878
0.404 0.915 0.122
0.904 0.585 0.622
0.404 0.415 0.378
```

Summary:
Theoretical density ... 4.6 g/cm3
SG ... Pna2_1

=====

Need the numbers? Relative energies in meV per atom: w 10; x 0.

=====

--- w ---
The following is a DFT calculation (PBEsol) of crystalline NaCl3 at its relaxed geometry.

Cell and atoms, written as POSCAR:
```
NaCl3
1.0
5.617 0.000 0.000
0.000 7.905 0.000
0.000 0.000 8.290
Cl Na
12 4
direct
0.750 0.283 0.922
0.250 0.953 0.374
0.250 0.147 0.145
0.750 0.453 0.126
0.750 0.647 0.355
0.250 0.353 0.645
0.250 0.717 0.078
0.250 0.547 0.874
0.750 0.853 0.855
0.250 0.783 0.578
0.750 0.217 0.422
0.750 0.047 0.626
0.750 0.542 0.679
0.250 0.042 0.821
0.250 0.458 0.321
0.750 0.958 0.179
```

Summary:
Theoretical density ... 2.3 g/cm3
SG ... Pnma

=====

--- x ---
The following is a DFT calculation (PBEsol) of crystalline NaCl3 at its relaxed geometry.

Cell and atoms, written as POSCAR:
```
NaCl3
1.0
-1.671 4.022 -0.058
-4.265 0.596 0.654
-0.830 2.117 7.162
Cl Na
3 1
direct
0.107 0.107 0.679
0.893 0.893 0.321
0.000 0.000 0.000
0.500 0.500 0.500
```

Summary:
Theoretical density ... 1.8 g/cm3
SG ... R-3m

=====

Need the numbers? Relative energies in meV per atom: w 15; x 0.

=====

--- w ---
The following is a DFT calculation (PBEsol) of crystalline NaP2OsCl at its relaxed geometry.

Cell and atoms, written as POSCAR:
```
NaP2OsCl
1.0
4.487 0.000 0.000
0.000 4.758 0.000
0.000 0.000 4.758
P Os Cl Na
2 1 1 1
direct
0.000 0.000 0.500
0.000 0.500 0.000
0.500 0.500 0.500
0.500 0.000 0.000
0.000 0.000 0.000
```

Summary:
Theoretical density ... 5.1 g/cm3
SG ... P4/mmm

=====

--- x ---
The following is a DFT calculation (PBEsol) of crystalline NaP2OsCl at its relaxed geometry.

Cell and atoms, written as POSCAR:
```
NaP2OsCl
1.0
-0.090 -4.423 0.530
2.430 -0.493 -3.701
4.666 0.268 3.027
Cl P Na Os
1 2 1 1
direct
0.000 0.000 0.500
0.000 0.500 0.000
0.500 0.000 0.000
0.500 0.500 0.500
0.000 0.000 0.000
```

Summary:
Theoretical density ... 4.7 g/cm3
SG ... P4/mmm

=====

Need the numbers? Relative energies in meV per atom: w 1970; x 0.

=====

--- w ---
The following is a DFT calculation (PBEsol) of crystalline NaPOsCl2 at its relaxed geometry.

Cell and atoms, written as POSCAR:
```
NaPOsCl2
1.0
-0.668 4.024 -2.123
-3.065 1.188 3.215
3.872 2.168 2.890
Os Na Cl P
1 1 2 1
direct
0.500 0.500 0.500
0.000 0.000 0.000
0.000 0.500 0.000
0.500 0.000 0.000
0.000 0.000 0.500
```

Summary:
Theoretical density ... 4.7 g/cm3
SG ... P4/mmm

=====

--- x ---
The following is a DFT calculation (PBEsol) of crystalline NaPOsCl2 at its relaxed geometry.

Cell and atoms, written as POSCAR:
```
NaPOsCl2
1.0
-2.418 -3.660 -0.434
3.722 -2.150 -2.606
1.952 -1.796 4.269
Na Cl Os P
1 2 1 1
direct
0.500 0.500 0.500
0.000 0.000 0.500
0.000 0.500 0.000
0.000 0.000 0.000
0.500 0.000 0.000
```

Summary:
Theoretical density ... 4.7 g/cm3
SG ... P4/mmm

=====

Need the numbers? Relative energies in meV per atom: w 1571; x 0.

=====

--- w ---
The following is a DFT calculation (PBEsol) of crystalline NaP2SeCl at its relaxed geometry.

Cell and atoms, written as POSCAR:
```
NaP2SeCl
1.0
4.517 0.000 0.000
0.000 4.986 0.000
0.000 0.000 4.986
P Na Cl Se
2 1 1 1
direct
0.000 0.500 0.000
0.000 0.000 0.500
0.000 0.000 0.000
0.500 0.000 0.000
0.500 0.500 0.500
```

Summary:
Theoretical density ... 2.9 g/cm3
SG ... P4/mmm

=====

--- x ---
The following is a DFT calculation (PBEsol) of crystalline NaP2SeCl at its relaxed geometry.

Cell and atoms, written as POSCAR:
```
NaP2SeCl
1.0
-1.609 0.713 4.217
4.176 -0.710 1.713
1.373 6.629 -0.598
Cl Se P Na
1 1 2 1
direct
0.000 0.000 0.500
0.000 0.000 0.000
0.500 0.000 0.000
0.000 0.500 0.000
0.500 0.500 0.500
```

Summary:
Theoretical density ... 2.3 g/cm3
SG ... P4/mmm

=====

Need the numbers? Relative energies in meV per atom: w 771; x 0.